VASP calculation (meta-GGA SCAN) on a crystal of CaFeSb2 relaxed with PBEsol.

For the density of states at the Fermi level, the calculation gives 6.5 states/eV per cell. The uncorrected formation energy is -60 meV per atom. Its magnetization is 5.87 μB/cell.

The structure belongs to space group I-4m2 (No. 119); the cell edges are 4.201, 4.201 and 9.933 Å and the angles 90.00°, 90.00° and 90.00°. Symmetry generates all atoms from Ca at (0.000, 0.000, 0.000), Fe at (0.000, 0.500, 0.250), Sb at (0.000, 0.000, 0.500) and Sb at (0.000, 0.500, 0.750).

VASP calculation (meta-GGA SCAN) on a crystal of CaFe4Sb12 relaxed with PBEsol.

For the density of states at the Fermi level, the calculation gives 14.8 states/eV per cell. The uncorrected formation energy is -138 meV per atom. Its magnetization is 4.02 μB/cell.

The structure belongs to space group Im-3 (No. 204); the cell edges are 9.059, 9.059 and 9.059 Å and the angles 90.00°, 90.00° and 90.00°. Symmetry generates all atoms from Ca at (0.000, 0.000, 0.000), Fe at (0.250, 0.250, 0.250) and Sb at (0.000, 0.163, 0.334).

VASP calculation (meta-GGA SCAN) on a crystal of CaFeSb2 relaxed with PBEsol.

For the density of states at the Fermi level, the calculation gives 2.2 states/eV per cell. The uncorrected formation energy is -114 meV per atom. Its magnetization is 2.39 μB/cell.

The structure belongs to space group Pmm2 (No. 25); the cell edges are 4.046, 4.945 and 4.999 Å and the angles 90.00°, 90.00° and 90.00°. Symmetry generates all atoms from Ca at (0.000, 0.000, 0.000), Fe at (0.500, 0.500, 0.314), Sb at (0.500, 0.000, 0.481) and Sb at (0.500, 0.500, 0.827).

VASP calculation (meta-GGA SCAN) on a crystal of Ca2ScFe relaxed with PBEsol.

For the energy above the most stable polymorph in this dataset, the calculation gives 0 meV/atom. For the density of states at the Fermi level, the calculation gives 5.5 states/eV per cell. Its magnetization is 1.48 μB/cell.

The structure belongs to space group P4mm (No. 99); the cell edges are 3.436, 3.436 and 8.606 Å and the angles 90.00°, 90.00° and 90.00°. Symmetry generates all atoms from Ca at (0.000, 0.000, 0.000), Ca at (0.500, 0.500, 0.358), Sc at (0.000, 0.000, 0.647) and Fe at (0.500, 0.500, 0.767).

VASP calculation (meta-GGA SCAN) on a crystal of Ca2ScFe relaxed with PBEsol.

For the energy above the most stable polymorph in this dataset, the calculation gives 339 meV/atom. For the density of states at the Fermi level, the calculation gives 13.8 states/eV per cell. Its magnetization is 11.34 μB/cell.

The structure belongs to space group Fm-3m (No. 225); the cell edges are 7.373, 7.373 and 7.373 Å and the angles 90.00°, 90.00° and 90.00°. Symmetry generates all atoms from Ca at (0.250, 0.250, 0.250), Sc at (0.000, 0.000, 0.000) and Fe at (0.000, 0.000, 0.500).

VASP calculation (meta-GGA SCAN) on a crystal of Ca2ScFe relaxed with PBEsol.

For the energy above the most stable polymorph in this dataset, the calculation gives 298 meV/atom. For the density of states at the Fermi level, the calculation gives 7.7 states/eV per cell. Its magnetization is 2.05 μB/cell.

The structure belongs to space group I-4m2 (No. 119); the cell edges are 4.741, 4.741 and 8.547 Å and the angles 90.00°, 90.00° and 90.00°. Symmetry generates all atoms from Ca at (0.000, 0.000, 0.000), Ca at (0.000, 0.500, 0.250), Sc at (0.000, 0.500, 0.750) and Fe at (0.000, 0.000, 0.500).

VASP calculation (meta-GGA SCAN) on a crystal of Ca2ScFe relaxed with PBEsol.

For the energy above the most stable polymorph in this dataset, the calculation gives 185 meV/atom. For the density of states at the Fermi level, the calculation gives 8.1 states/eV per cell. Its magnetization is 1.83 μB/cell.

The structure belongs to space group Cm (No. 8); the cell edges are 8.384, 3.384 and 8.124 Å and the angles 90.00°, 106.13° and 90.00°. Symmetry generates all atoms from Ca at (0.000, 0.000, 0.000), Ca at (0.159, 0.000, 0.593), Sc at (0.304, 0.500, 0.297) and Fe at (0.033, 0.500, 0.296).

VASP calculation (meta-GGA SCAN) on a crystal of CaSc3Fe relaxed with PBEsol.

For the density of states at the Fermi level, the calculation gives 3.4 states/eV per cell. The value obtained for the calculated total energy is -14.04 eV per atom. Its magnetization is 0.00 μB/cell.

The structure belongs to space group Pm-3m (No. 221); the cell edges are 4.905, 4.905 and 4.905 Å and the angles 90.00°, 90.00° and 90.00°. Symmetry generates all atoms from Ca at (0.000, 0.000, 0.000), Sc at (0.000, 0.500, 0.500) and Fe at (0.500, 0.500, 0.500).

VASP calculation (meta-GGA SCAN) on a crystal of Ca4ScFe relaxed with PBEsol.

For the density of states at the Fermi level, the calculation gives 32.3 states/eV per cell. The value obtained for the calculated total energy is -11.00 eV per atom. Its magnetization is 13.32 μB/cell.

The structure belongs to space group F-43m (No. 216); the cell edges are 9.156, 9.156 and 9.156 Å and the angles 90.00°, 90.00° and 90.00°. Symmetry generates all atoms from Ca at (0.125, 0.125, 0.125), Sc at (0.250, 0.250, 0.750) and Fe at (0.000, 0.000, 0.500).

VASP calculation (meta-GGA SCAN) on a crystal of CaScTaFe2 relaxed with PBEsol.

For the density of states at the Fermi level, the calculation gives 6.8 states/eV per cell. The value obtained for the calculated total energy is -23.42 eV per atom. Its magnetization is 5.17 μB/cell.

The structure belongs to space group P4/mmm (No. 123); the cell edges are 4.428, 4.428 and 4.801 Å and the angles 90.00°, 90.00° and 90.00°. Symmetry generates all atoms from Ca at (0.000, 0.000, 0.000), Sc at (0.500, 0.500, 0.500), Ta at (0.000, 0.000, 0.500) and Fe at (0.000, 0.500, 0.000).

VASP calculation (meta-GGA SCAN) on a crystal of CaFeSe2 relaxed with PBEsol.

For the energy above the most stable polymorph in this dataset, the calculation gives 314 meV/atom. For the density of states at the Fermi level, the calculation gives 7.7 states/eV per cell. The uncorrected formation energy is -802 meV per atom. Its magnetization is 12.00 μB/cell.

The structure belongs to space group R-3m (No. 166, hexagonal axes); the cell edges are 4.2795, 4.2795 and 22.6292 Å and the angles 90.00°, 90.00° and 120.00°. Symmetry generates all atoms from Ca at (0.0000, 0.0000, 0.0000), Fe at (0.0000, 0.0000, 0.5000) and Se at (0.0000, 0.0000, 0.4007).

VASP calculation (meta-GGA SCAN) on a crystal of CaFeSe2 relaxed with PBEsol.

For the energy above the most stable polymorph in this dataset, the calculation gives 413 meV/atom. For the density of states at the Fermi level, the calculation gives 2.7 states/eV per cell. The uncorrected formation energy is -702 meV per atom. Its magnetization is 2.97 μB/cell.

The structure belongs to space group P4/mmm (No. 123); the cell edges are 4.734, 4.734 and 3.390 Å and the angles 90.00°, 90.00° and 90.00°. Symmetry generates all atoms from Ca at (0.000, 0.000, 0.000), Fe at (0.500, 0.500, 0.000) and Se at (0.000, 0.500, 0.500).

VASP calculation (meta-GGA SCAN) on a crystal of CaFeSe2 relaxed with PBEsol.

For the energy above the most stable polymorph in this dataset, the calculation gives 110 meV/atom. For the density of states at the Fermi level, the calculation gives 4.3 states/eV per cell. The uncorrected formation energy is -1006 meV per atom. Its magnetization is 4.00 μB/cell.

The structure belongs to space group P4mm (No. 99); the cell edges are 3.904, 3.904 and 5.656 Å and the angles 90.00°, 90.00° and 90.00°. Symmetry generates all atoms from Ca at (0.000, 0.000, 0.000), Fe at (0.500, 0.500, 0.458), Se at (0.000, 0.000, 0.500) and Se at (0.500, 0.500, 0.011).

VASP calculation (meta-GGA SCAN) on a crystal of Ca4FeSe relaxed with PBEsol.

For the density of states at the Fermi level, the calculation gives 26.0 states/eV per cell. The uncorrected formation energy is 512 meV per atom. Its magnetization is 5.23 μB/cell.

The structure belongs to space group F-43m (No. 216); the cell edges are 8.967, 8.967 and 8.967 Å and the angles 90.00°, 90.00° and 90.00°. Symmetry generates all atoms from Ca at (0.125, 0.125, 0.125), Fe at (0.000, 0.000, 0.500) and Se at (0.250, 0.250, 0.750).

In the order shown, the computed calculated volume values come out to 21.9 21.9 25.0 25.4 25.1 24.0 27.7 23.6 32.0 18.8 29.9 19.0 21.6 30.0 A^3/atom.